Entry 1:
{
  "formula": "Y2ErGe3Pt4",
  "functional": "GGA-PBE",
  "state": "optimized geometry",
  "cell": [[4.197, 0.000, 0.000], [0.000, 4.197, 0.000], [0.000, 0.000, 11.378]],
  "species": ["Y", "Y", "Er", "Ge", "Ge", "Ge", "Pt", "Pt", "Pt", "Pt"],
  "frac_coords": [[0.000, 0.500, 0.221], [0.500, 0.000, 0.779], [0.000, 0.000, 0.500], [0.000, 0.500, 0.872], [0.500, 0.000, 0.128], [0.500, 0.500, 0.500], [0.000, 0.000, 0.000], [0.000, 0.500, 0.657], [0.500, 0.000, 0.343], [0.500, 0.500, 0.000]],
  "formation_energy_mev_per_atom": -956,
  "total_magnetization_mub_per_atom": 0.000,
  "total_energy_ev_per_cell": -65.1
}

***

Entry 2:
{
  "formula": "ErZnGePt3",
  "functional": "GGA-PBE",
  "state": "optimized geometry",
  "cell": [[3.403, -5.910, 0.000], [3.403, 5.910, 0.000], [0.000, 0.000, 5.596]],
  "species": ["Er", "Er", "Zn", "Zn", "Ge", "Ge", "Pt", "Pt", "Pt", "Pt", "Pt", "Pt"],
  "frac_coords": [[0.195, 0.805, 0.750], [0.805, 0.195, 0.250], [0.439, 0.561, 0.750], [0.561, 0.439, 0.250], [0.132, 0.868, 0.250], [0.868, 0.132, 0.750], [0.210, 0.210, 0.000], [0.210, 0.210, 0.500], [0.334, 0.666, 0.250], [0.666, 0.334, 0.750], [0.790, 0.790, 0.000], [0.790, 0.790, 0.500]],
  "formation_energy_mev_per_atom": -631,
  "total_magnetization_mub_per_atom": 0.000,
  "total_energy_ev_per_cell": -64.7
}

***

Entry 3:
{
  "formula": "Er4PuGe4",
  "functional": "GGA-PBE",
  "state": "optimized geometry",
  "cell": [[-4.586, 4.586, 2.874], [4.586, -4.586, 2.874], [4.586, 4.586, -2.874]],
  "species": ["Er", "Er", "Er", "Er", "Pu", "Ge", "Ge", "Ge", "Ge"],
  "frac_coords": [[0.099, 0.305, 0.404], [0.305, 0.901, 0.206], [0.695, 0.099, 0.794], [0.901, 0.695, 0.596], [0.500, 0.500, 0.000], [0.206, 0.603, 0.808], [0.397, 0.206, 0.603], [0.603, 0.794, 0.397], [0.794, 0.397, 0.192]],
  "formation_energy_mev_per_atom": -505,
  "total_magnetization_mub_per_atom": 0.583,
  "total_energy_ev_per_cell": -55.6
}

***

Entry 4:
{
  "formula": "Er2PuGe",
  "functional": "GGA-PBE",
  "state": "optimized geometry",
  "cell": [[1.771, 1.023, 9.946], [-1.771, 1.023, 9.946], [0.000, -2.045, 9.946]],
  "species": ["Er", "Er", "Pu", "Ge"],
  "frac_coords": [[0.237, 0.237, 0.237], [0.763, 0.763, 0.763], [0.000, 0.000, 0.000], [0.500, 0.500, 0.500]],
  "formation_energy_mev_per_atom": -146,
  "total_magnetization_mub_per_atom": 1.696,
  "total_energy_ev_per_cell": -28.7
}

***

Entry 5:
{
  "formula": "ErPuGe2",
  "functional": "GGA-PBE",
  "state": "optimized geometry",
  "cell": [[3.292, 0.000, 0.000], [0.000, 3.292, 0.000], [0.000, 0.000, 8.113]],
  "species": ["Er", "Pu", "Ge", "Ge"],
  "frac_coords": [[0.000, 0.000, 0.000], [0.000, 0.000, 0.500], [0.500, 0.500, 0.246], [0.500, 0.500, 0.754]],
  "formation_energy_mev_per_atom": -532,
  "total_magnetization_mub_per_atom": 1.411,
  "total_energy_ev_per_cell": -30.3
}

***

Entry 6:
{
  "formula": "Er2PuGe4",
  "functional": "GGA-PBE",
  "state": "optimized geometry",
  "cell": [[-1.989, 2.125, 9.134], [1.989, -2.125, 9.134], [1.989, 2.125, -9.134]],
  "species": ["Er", "Er", "Pu", "Ge", "Ge", "Ge", "Ge"],
  "frac_coords": [[0.182, 0.182, 0.000], [0.818, 0.818, 0.000], [0.000, 0.500, 0.500], [0.341, 0.341, 0.000], [0.432, 0.932, 0.500], [0.568, 0.068, 0.500], [0.659, 0.659, 0.000]],
  "formation_energy_mev_per_atom": -618,
  "total_magnetization_mub_per_atom": 0.781,
  "total_energy_ev_per_cell": -46.3
}

***

Entry 7:
{
  "formula": "ErPuGe2",
  "functional": "GGA-PBE",
  "state": "optimized geometry",
  "cell": [[3.930, 0.000, 0.000], [0.000, 2.173, 5.392], [0.000, -2.173, 5.392]],
  "species": ["Er", "Pu", "Ge", "Ge"],
  "frac_coords": [[0.000, 0.000, 0.000], [0.500, 0.278, 0.278], [0.000, 0.719, 0.719], [0.500, 0.554, 0.554]],
  "formation_energy_mev_per_atom": -613,
  "total_magnetization_mub_per_atom": 1.480,
  "total_energy_ev_per_cell": -30.6
}

***

Entry 8:
{
  "formula": "ErPu2Ge3",
  "functional": "GGA-PBE",
  "state": "optimized geometry",
  "cell": [[5.050, 0.000, 0.000], [-2.525, 4.374, 0.000], [0.000, 0.000, 6.057]],
  "species": ["Er", "Pu", "Pu", "Ge", "Ge", "Ge"],
  "frac_coords": [[0.000, 0.000, 0.000], [0.333, 0.667, 0.650], [0.667, 0.333, 0.350], [0.000, 0.000, 0.500], [0.333, 0.667, 0.150], [0.667, 0.333, 0.850]],
  "formation_energy_mev_per_atom": -438,
  "total_magnetization_mub_per_atom": 1.856,
  "total_energy_ev_per_cell": -49.7
}

***

Entry 9:
{
  "formula": "ErPuGe4",
  "functional": "GGA-PBE",
  "state": "optimized geometry",
  "cell": [[0.000, 3.940, 3.940], [3.940, 0.000, 3.940], [3.940, 3.940, 0.000]],
  "species": ["Er", "Pu", "Ge", "Ge", "Ge", "Ge"],
  "frac_coords": [[0.000, 0.000, 0.000], [0.750, 0.750, 0.750], [0.375, 0.375, 0.375], [0.375, 0.375, 0.875], [0.375, 0.875, 0.375], [0.875, 0.375, 0.375]],
  "formation_energy_mev_per_atom": -302,
  "total_magnetization_mub_per_atom": 1.141,
  "total_energy_ev_per_cell": -39.2
}

***

Entry 10:
{
  "formula": "Er2PuGe",
  "functional": "GGA-PBE",
  "state": "optimized geometry",
  "cell": [[4.691, 0.000, 0.000], [0.000, 4.691, 0.000], [0.000, 0.000, 4.438]],
  "species": ["Er", "Er", "Pu", "Ge"],
  "frac_coords": [[0.000, 0.500, 0.000], [0.500, 0.000, 0.000], [0.000, 0.000, 0.500], [0.500, 0.500, 0.500]],
  "formation_energy_mev_per_atom": -250,
  "total_magnetization_mub_per_atom": 1.633,
  "total_energy_ev_per_cell": -29.1
}

***

Entry 11:
{
  "formula": "ErPuGe2",
  "functional": "GGA-PBE",
  "state": "optimized geometry",
  "cell": [[3.918, 0.000, 0.000], [0.000, 5.798, 0.000], [0.000, 0.000, 8.085]],
  "species": ["Er", "Er", "Pu", "Pu", "Ge", "Ge", "Ge", "Ge"],
  "frac_coords": [[0.000, 0.135, 0.000], [0.000, 0.865, 0.500], [0.500, 0.366, 0.363], [0.500, 0.634, 0.863], [0.000, 0.389, 0.643], [0.000, 0.611, 0.143], [0.500, 0.104, 0.721], [0.500, 0.896, 0.221]],
  "formation_energy_mev_per_atom": -610,
  "total_magnetization_mub_per_atom": 1.470,
  "total_energy_ev_per_cell": -61.1
}

***

Entry 12:
{
  "formula": "ErPuGeRu",
  "functional": "GGA-PBE",
  "state": "optimized geometry",
  "cell": [[0.000, 3.468, 3.468], [3.468, 0.000, 3.468], [3.468, 3.468, 0.000]],
  "species": ["Er", "Pu", "Ge", "Ru"],
  "frac_coords": [[0.000, 0.000, 0.000], [0.500, 0.500, 0.500], [0.750, 0.750, 0.750], [0.250, 0.250, 0.250]],
  "formation_energy_mev_per_atom": -303,
  "total_magnetization_mub_per_atom": 1.202,
  "total_energy_ev_per_cell": -34.0
}

***

Entry 13:
{
  "formula": "ErPuGeSe",
  "functional": "GGA-PBE",
  "state": "optimized geometry",
  "cell": [[2.065, 1.192, 6.728], [-2.065, 1.192, 6.728], [0.000, -2.384, 6.728]],
  "species": ["Er", "Pu", "Ge", "Se"],
  "frac_coords": [[0.000, 0.000, 0.000], [0.504, 0.504, 0.504], [0.253, 0.253, 0.253], [0.751, 0.751, 0.751]],
  "e_form_raw_ev_per_atom": -1.12,
  "total_magnetization_mub_per_atom": 1.250,
  "total_energy_ev_per_cell": -31.5
}

***

Entry 14:
{
  "formula": "ErPuTlGe",
  "functional": "GGA-PBE",
  "state": "optimized geometry",
  "cell": [[0.000, 3.685, 3.685], [3.685, 0.000, 3.685], [3.685, 3.685, 0.000]],
  "species": ["Er", "Pu", "Tl", "Ge"],
  "frac_coords": [[0.000, 0.000, 0.000], [0.500, 0.500, 0.500], [0.250, 0.250, 0.250], [0.750, 0.750, 0.750]],
  "formation_energy_mev_per_atom": -268,
  "total_magnetization_mub_per_atom": 1.519,
  "total_energy_ev_per_cell": -27.0
}

***

Entry 15:
{
  "formula": "Rb2ErGe2S6",
  "functional": "GGA-PBE",
  "state": "optimized geometry",
  "cell": [[5.585, -3.640, 0.000], [5.585, 3.640, 0.000], [-2.537, 0.000, 8.070]],
  "species": ["Rb", "Rb", "Er", "Ge", "Ge", "S", "S", "S", "S", "S", "S"],
  "frac_coords": [[0.192, 0.192, 0.131], [0.808, 0.808, 0.869], [0.000, 0.000, 0.500], [0.457, 0.457, 0.626], [0.543, 0.543, 0.374], [0.206, 0.718, 0.242], [0.250, 0.250, 0.541], [0.282, 0.794, 0.758], [0.718, 0.206, 0.242], [0.750, 0.750, 0.459], [0.794, 0.282, 0.758]],
  "e_form_raw_ev_per_atom": -0.91,
  "total_magnetization_mub_per_atom": 0.000,
  "total_energy_ev_per_cell": -50.5
}

***

Entry 16:
{
  "formula": "RbErGeS4",
  "functional": "GGA-PBE",
  "state": "optimized geometry",
  "cell": [[6.478, 0.000, 0.000], [0.000, 6.759, 0.000], [-2.781, 0.000, 8.667]],
  "species": ["Rb", "Rb", "Er", "Er", "Ge", "Ge", "S", "S", "S", "S", "S", "S", "S", "S"],
  "frac_coords": [[0.238, 0.250, 0.439], [0.762, 0.750, 0.561], [0.279, 0.250, 0.952], [0.721, 0.750, 0.048], [0.269, 0.750, 0.163], [0.731, 0.250, 0.837], [0.053, 0.750, 0.923], [0.067, 0.750, 0.318], [0.496, 0.503, 0.803], [0.496, 0.997, 0.803], [0.504, 0.003, 0.197], [0.504, 0.497, 0.197], [0.933, 0.250, 0.682], [0.947, 0.250, 0.077]],
  "e_form_raw_ev_per_atom": -1.24,
  "total_magnetization_mub_per_atom": 0.000,
  "total_energy_ev_per_cell": -70.7
}

***

Entry 17:
{
  "formula": "RbErGeSe4",
  "functional": "GGA-PBE",
  "state": "optimized geometry",
  "cell": [[6.735, 0.000, 0.000], [0.000, 7.081, 0.000], [-2.959, 0.000, 9.017]],
  "species": ["Rb", "Rb", "Er", "Er", "Ge", "Ge", "Se", "Se", "Se", "Se", "Se", "Se", "Se", "Se"],
  "frac_coords": [[0.248, 0.250, 0.058], [0.752, 0.750, 0.942], [0.225, 0.250, 0.550], [0.775, 0.750, 0.450], [0.225, 0.750, 0.336], [0.775, 0.250, 0.664], [0.015, 0.508, 0.701], [0.015, 0.992, 0.701], [0.429, 0.750, 0.176], [0.449, 0.750, 0.582], [0.551, 0.250, 0.418], [0.571, 0.250, 0.824], [0.985, 0.008, 0.299], [0.985, 0.492, 0.299]],
  "e_form_raw_ev_per_atom": -1.11,
  "total_magnetization_mub_per_atom": 0.000,
  "total_energy_ev_per_cell": -63.7
}

***

Entry 18:
{
  "formula": "RbErGeSe3",
  "functional": "GGA-PBE",
  "state": "optimized geometry",
  "cell": [[8.912, 0.000, 0.000], [0.000, 4.055, 0.000], [-3.951, 0.000, 10.537]],
  "species": ["Rb", "Rb", "Er", "Er", "Ge", "Ge", "Se", "Se", "Se", "Se", "Se", "Se"],
  "frac_coords": [[0.233, 0.250, 0.276], [0.767, 0.750, 0.724], [0.365, 0.750, 0.845], [0.635, 0.250, 0.155], [0.128, 0.250, 0.561], [0.872, 0.750, 0.439], [0.119, 0.250, 0.779], [0.328, 0.750, 0.580], [0.400, 0.750, 0.104], [0.600, 0.250, 0.896], [0.672, 0.250, 0.420], [0.881, 0.750, 0.221]],
  "e_form_raw_ev_per_atom": -1.25,
  "total_magnetization_mub_per_atom": 0.000,
  "total_energy_ev_per_cell": -56.2
}

***

Entry 19:
{
  "formula": "Rb2ErGeSe4",
  "functional": "GGA-PBE",
  "state": "optimized geometry",
  "cell": [[8.850, 0.000, 0.000], [0.000, 9.763, 0.000], [0.000, 0.000, 7.100]],
  "species": ["Rb", "Rb", "Rb", "Rb", "Er", "Er", "Ge", "Ge", "Se", "Se", "Se", "Se", "Se", "Se", "Se", "Se"],
  "frac_coords": [[0.241, 0.152, 0.000], [0.259, 0.848, 0.500], [0.741, 0.848, 0.500], [0.759, 0.152, 0.000], [0.000, 0.370, 0.463], [0.500, 0.630, 0.963], [0.000, 0.654, 0.957], [0.500, 0.346, 0.457], [0.000, 0.416, 0.087], [0.000, 0.622, 0.613], [0.250, 0.207, 0.515], [0.250, 0.793, 0.015], [0.500, 0.378, 0.113], [0.500, 0.584, 0.587], [0.750, 0.207, 0.515], [0.750, 0.793, 0.015]],
  "e_form_raw_ev_per_atom": -1.02,
  "total_magnetization_mub_per_atom": 0.000,
  "total_energy_ev_per_cell": -66.4
}

***

Entry 20:
{
  "formula": "Rb2ErGeTe4",
  "functional": "GGA-PBE",
  "state": "optimized geometry",
  "cell": [[-4.514, 4.898, 6.651], [4.514, -4.898, 6.651], [4.514, 4.898, -6.651]],
  "species": ["Rb", "Rb", "Rb", "Rb", "Er", "Er", "Ge", "Ge", "Te", "Te", "Te", "Te", "Te", "Te", "Te", "Te"],
  "frac_coords": [[0.000, 0.000, 0.000], [0.500, 0.000, 0.000], [0.500, 0.000, 0.500], [0.500, 0.500, 0.500], [0.000, 0.000, 0.500], [0.000, 0.500, 0.000], [0.000, 0.500, 0.500], [0.500, 0.500, 0.000], [0.195, 0.731, 0.464], [0.230, 0.273, 0.544], [0.230, 0.686, 0.956], [0.233, 0.269, 0.964], [0.767, 0.731, 0.036], [0.770, 0.314, 0.044], [0.770, 0.727, 0.456], [0.805, 0.269, 0.536]],
  "e_form_raw_ev_per_atom": -0.79,
  "total_magnetization_mub_per_atom": 0.000,
  "total_energy_ev_per_cell": -60.0
}

***

Entry 21:
{
  "formula": "ErReGe",
  "functional": "GGA-PBE",
  "state": "optimized geometry",
  "cell": [[7.474, 0.000, 0.000], [0.000, 5.509, 0.000], [0.000, 0.000, 5.665]],
  "species": ["Er", "Er", "Er", "Er", "Re", "Re", "Re", "Re", "Ge", "Ge", "Ge", "Ge"],
  "frac_coords": [[0.143, 0.250, 0.091], [0.357, 0.750, 0.591], [0.643, 0.250, 0.409], [0.857, 0.750, 0.909], [0.000, 0.000, 0.500], [0.000, 0.500, 0.500], [0.500, 0.000, 0.000], [0.500, 0.500, 0.000], [0.207, 0.750, 0.136], [0.293, 0.250, 0.636], [0.707, 0.750, 0.364], [0.793, 0.250, 0.864]],
  "formation_energy_mev_per_atom": -100,
  "total_magnetization_mub_per_atom": 0.000,
  "total_energy_ev_per_cell": -87.7
}

***

Entry 22:
{
  "formula": "ErReGe2",
  "functional": "GGA-PBE",
  "state": "optimized geometry",
  "cell": [[2.328, 1.344, 3.706], [-2.328, 1.344, 3.706], [0.000, -2.688, 3.706]],
  "species": ["Er", "Re", "Ge", "Ge"],
  "frac_coords": [[0.000, 0.000, 0.000], [0.500, 0.500, 0.500], [0.252, 0.252, 0.252], [0.748, 0.748, 0.748]],
  "formation_energy_mev_per_atom": -155,
  "total_magnetization_mub_per_atom": 0.000,
  "total_energy_ev_per_cell": -26.9
}